[1]
# Ca3CdP

A geometry-optimized Ca3CdP structure (PBE, the Alexandria database).

```
10
Lattice="-0.636 5.279 3.464 1.042 -3.346 5.291 9.324 2.577 3.599" Properties=species:S:1:pos:R:3 pbc="T T T"
P 0.000 0.000 0.000
P 5.285 0.099 6.634
Ca 2.993 -1.651 5.978
Ca 7.995 -0.303 7.745
Ca 7.475 1.366 5.104
Ca 2.675 0.984 7.707
Ca 4.177 1.668 4.038
Ca 5.553 2.842 8.315
Cd 6.000 4.686 5.587
Cd 2.891 4.137 5.853
```

Calculated values
* space group: I-4m2
* D(E_F): 0.623 states/eV per atom
* magnetic moment: 0.00 μB per cell
* relative energy among the computed polymorphs: 10.79 kcal/mol of atoms
* calculated total energy: -0.098 hartree per atom
* ΔE_f: -0.19 eV per atom

[2]
# Ca3CdP

A geometry-optimized Ca3CdP structure (PBE, the Alexandria database).

```
10
Lattice="-4.322 2.039 -0.822 2.125 -2.656 -3.456 -7.957 -14.383 6.161" Properties=species:S:1:pos:R:3 pbc="T T T"
P -5.992 -11.879 2.043
P -4.162 -3.122 -0.160
Ca -1.989 -3.596 1.540
Ca -5.968 -10.788 4.621
Ca -7.242 -14.139 3.011
Ca -4.742 -9.618 1.074
Ca -5.413 -5.382 0.808
Ca -2.912 -0.862 -1.128
Cd 0.000 0.000 0.000
Cd -3.979 -7.192 3.080
```

Calculated values
* space group: P6_3/mmc
* D(E_F): 0.598 states/eV per atom
* magnetic moment: 1.22 μB per cell
* relative energy among the computed polymorphs: 3.59 kcal/mol of atoms
* calculated total energy: -0.109 hartree per atom
* ΔE_f: -0.50 eV per atom

[3]
# CaCdP2

A geometry-optimized CaCdP2 structure (PBE, the Alexandria database).

```
4
Lattice="-1.859 -4.034 4.160 -2.081 -5.521 -1.492 4.650 3.882 -0.582" Properties=species:S:1:pos:R:3 pbc="T T T"
Ca -1.951 -4.733 1.322
Cd 0.445 -2.857 -0.468
P -3.812 -9.245 2.582
P 0.120 -3.171 2.654
```

Calculated values
* space group: Imm2
* D(E_F): 0.208 states/eV per atom
* magnetic moment: 0.00 μB per cell
* calculated total energy: -0.137 hartree per atom
* ΔE_f: -0.30 eV per atom

[4]
# Ca2CdP

A geometry-optimized Ca2CdP structure (PBE, the Alexandria database).

```
4
Lattice="6.243 0.003 0.000 3.256 5.326 0.000 -4.749 -2.665 3.052" Properties=species:S:1:pos:R:3 pbc="T T T"
Ca 0.000 0.000 0.000
Ca 1.628 2.663 1.526
Cd 4.749 2.665 0.000
P 3.121 0.001 1.526
```

Calculated values
* space group: I-4m2
* D(E_F): 0.717 states/eV per atom
* magnetic moment: 0.00 μB per cell
* relative energy among the computed polymorphs: 6.20 kcal/mol of atoms
* calculated total energy: -0.110 hartree per atom
* ΔE_f: -0.42 eV per atom

Question: Look up the calculated total energy of the third one.
Answer: -0.137 hartree per atom